*P*
DFT (PBE-GGA) results for crystalline LaZr3Ti at its relaxed geometry.

abc: 5.1046 5.1046 5.1046
angles: 90.00 90.00 90.00
Fractional coordinates of all 5 atoms:
La 0.0000 0.0000 0.0000
Zr 0.0000 0.0000 0.5000
Zr 0.0000 0.5000 0.0000
Zr 0.5000 0.0000 0.0000
Ti 0.5000 0.5000 0.5000

Computed properties:
Size of the total moment   0.000 μB per atom
Symmetry   No. 221

---

*Q*
DFT (PBE-GGA) results for crystalline LaZr3Ti at its relaxed geometry.

abc: 5.1369 5.1369 5.1369
angles: 90.00 90.00 90.00
Fractional coordinates of all 5 atoms:
La 0.0000 0.0000 0.0000
Zr 0.0000 0.5000 0.5000
Zr 0.5000 0.0000 0.5000
Zr 0.5000 0.5000 0.0000
Ti 0.5000 0.5000 0.5000

Computed properties:
Size of the total moment   0.000 μB per atom
Symmetry   No. 221

---

The calculated energies rank the structures as follows, beginning with the most stable: *Q*, *P*.

---

*P*
DFT (PBE-GGA) results for crystalline La3ZrTi at its relaxed geometry.

abc: 5.6704 5.6704 5.6704
angles: 90.00 90.00 90.00
Fractional coordinates of all 5 atoms:
La 0.0000 0.0000 0.5000
La 0.0000 0.5000 0.0000
La 0.5000 0.0000 0.0000
Zr 0.0000 0.0000 0.0000
Ti 0.5000 0.5000 0.5000

Computed properties:
Size of the total moment   0.061 μB per atom
Symmetry   No. 221

---

*Q*
DFT (PBE-GGA) results for crystalline La3ZrTi at its relaxed geometry.

abc: 5.5236 5.5236 5.5236
angles: 90.00 90.00 90.00
Fractional coordinates of all 5 atoms:
La 0.0000 0.0000 0.5000
La 0.0000 0.5000 0.0000
La 0.5000 0.0000 0.0000
Zr 0.5000 0.5000 0.5000
Ti 0.0000 0.0000 0.0000

Computed properties:
Size of the total moment   0.412 μB per atom
Symmetry   No. 221

---

The calculated energies rank the structures as follows, beginning with the most stable: *Q*, *P*.

---

*P*
DFT (PBE-GGA) results for crystalline La4Tl3 at its relaxed geometry.

abc: 9.5285 9.5285 9.5285
angles: 33.86 33.86 33.86
Fractional coordinates of all 7 atoms:
La 0.1186 0.1186 0.1186
La 0.3707 0.3707 0.3707
La 0.6293 0.6293 0.6293
La 0.8814 0.8814 0.8814
Tl 0.2487 0.2487 0.2487
Tl 0.5000 0.5000 0.5000
Tl 0.7513 0.7513 0.7513

Computed properties:
Size of the total moment   0.000 μB per atom
Symmetry   No. 166

---

*Q*
DFT (PBE-GGA) results for crystalline La4Tl3 at its relaxed geometry.

abc: 8.9377 8.9377 8.9377
angles: 113.58 113.58 113.58
Fractional coordinates of all 14 atoms:
La 0.0000 0.0000 0.0000
La 0.0574 0.7361 0.6029
La 0.2639 0.3971 0.9426
La 0.3971 0.9426 0.2639
La 0.5000 0.5000 0.5000
La 0.6029 0.0574 0.7361
La 0.7361 0.6029 0.0574
La 0.9426 0.2639 0.3971
Tl 0.1096 0.5094 0.2261
Tl 0.2261 0.1096 0.5094
Tl 0.4906 0.7739 0.8904
Tl 0.5094 0.2261 0.1096
Tl 0.7739 0.8904 0.4906
Tl 0.8904 0.4906 0.7739

Computed properties:
Size of the total moment   0.000 μB per atom
Symmetry   No. 148

---

The calculated energies rank the structures as follows, beginning with the most stable: *Q*, *P*.

---

*P*
DFT (PBE-GGA) results for crystalline La3Tl5 at its relaxed geometry.

abc: 6.9003 6.9003 5.2408
angles: 90.00 90.00 99.49
Fractional coordinates of all 8 atoms:
La 0.0000 0.0000 0.0000
La 0.2838 0.7162 0.5000
La 0.7162 0.2838 0.5000
Tl 0.0000 0.5000 0.0000
Tl 0.2261 0.2261 0.5000
Tl 0.5000 0.0000 0.0000
Tl 0.5000 0.5000 0.0000
Tl 0.7739 0.7739 0.5000

Computed properties:
Size of the total moment   0.000 μB per atom
Symmetry   No. 65

---

*Q*
DFT (PBE-GGA) results for crystalline La3Tl5 at its relaxed geometry.

abc: 9.4425 9.4425 9.0049
angles: 95.22 95.22 140.50
Fractional coordinates of all 16 atoms:
La 0.0000 0.0000 0.0000
La 0.5315 0.5315 0.6311
La 0.5395 0.9939 0.8165
La 0.6033 0.9288 0.3154
La 0.9288 0.6033 0.3154
La 0.9939 0.5395 0.8165
Tl 0.0010 0.3485 0.1316
Tl 0.0366 0.0366 0.3756
Tl 0.1249 0.9362 0.6816
Tl 0.1850 0.5342 0.5015
Tl 0.3485 0.0010 0.1316
Tl 0.4070 0.5950 0.9495
Tl 0.4953 0.4953 0.2558
Tl 0.5342 0.1850 0.5015
Tl 0.5950 0.4070 0.9495
Tl 0.9362 0.1249 0.6816

Computed properties:
Size of the total moment   0.000 μB per atom
Symmetry   No. 8

---

*R*
DFT (PBE-GGA) results for crystalline La3Tl5 at its relaxed geometry.

abc: 6.7962 6.7962 10.8244
angles: 90.00 90.00 77.73
Fractional coordinates of all 16 atoms:
La 0.1230 0.8770 0.7500
La 0.2951 0.2951 0.0000
La 0.2951 0.2951 0.5000
La 0.7049 0.7049 0.0000
La 0.7049 0.7049 0.5000
La 0.8770 0.1230 0.2500
Tl 0.0032 0.4291 0.7500
Tl 0.1966 0.8034 0.0453
Tl 0.1966 0.8034 0.4547
Tl 0.4291 0.0032 0.2500
Tl 0.4939 0.5061 0.2500
Tl 0.5061 0.4939 0.7500
Tl 0.5709 0.9968 0.7500
Tl 0.8034 0.1966 0.5453
Tl 0.8034 0.1966 0.9547
Tl 0.9968 0.5709 0.2500

Computed properties:
Size of the total moment   0.000 μB per atom
Symmetry   No. 63

---

The calculated energies rank the structures as follows, beginning with the most stable: *R*, *P*, *Q*.